Below is an optimized crystal structure of RbTaBiAs2, with properties calculated at the PBEsol level.

Cell: 5.0552 5.0552 5.4994 Å, 90.00 90.00 90.00°
Atoms (fractional coordinates):
As 0.0000 0.5000 0.0000
As 0.5000 0.0000 0.0000
Bi 0.0000 0.0000 0.5000
Rb 0.5000 0.5000 0.5000
Ta 0.0000 0.0000 0.0000

Computed properties:
Calculated total energy in eV per formula unit: -28.065
Symmetry: No. 123

Below is an optimized crystal structure of Re3BiAs, with properties calculated at the PBEsol level.

Cell: 4.6006 4.6006 4.6006 Å, 90.00 90.00 90.00°
Site moments in Bohr magnetons follow the coordinates.
Atoms (fractional coordinates):
Re 0.0000 0.5000 0.0000  0.60
Re 0.0000 0.0000 0.5000  0.60
Re 0.5000 0.0000 0.0000  0.60
As 0.0000 0.0000 0.0000  -0.02
Bi 0.5000 0.5000 0.5000  -0.02

Computed properties:
Calculated total energy in eV per formula unit: -41.169
Symmetry: No. 221

Below is an optimized crystal structure of BiAs2RuSe, with properties calculated at the PBEsol level.

Cell: 5.2874 5.2874 5.3045 Å, 90.00 90.00 90.00°
Site moments in Bohr magnetons follow the coordinates.
Atoms (fractional coordinates):
Ru 0.5000 0.5000 0.5000  2.61
As 0.0000 0.5000 0.0000  -0.08
As 0.5000 0.0000 0.0000  -0.08
Bi 0.0000 0.0000 0.0000  0.01
Se 0.0000 0.0000 0.5000  -0.02

Computed properties:
Calculated total energy in eV per formula unit: -19.304
Symmetry: No. 123
Uncorrected formation energy in eV/atom: 1.84

Below is an optimized crystal structure of BiAsS2, with properties calculated at the PBEsol level.

Cell: 4.7857 4.7857 4.7857 Å, 60.00 60.00 60.00°
Atoms (fractional coordinates):
S 0.2500 0.2500 0.2500
S 0.7500 0.7500 0.7500
As 0.0000 0.0000 0.0000
Bi 0.5000 0.5000 0.5000

Computed properties:
Calculated total energy in eV per formula unit: -17.554
Energy above the most stable polymorph in this dataset in eV/atom: 0.112
Symmetry: No. 225
Uncorrected formation energy in eV/atom: 0.15

Below is an optimized crystal structure of BiAsS2, with properties calculated at the PBEsol level.

Cell: 6.0917 6.0917 6.0917 Å, 106.76 106.76 115.04°
Atoms (fractional coordinates):
S 0.8466 0.8750 0.4716
S 0.4034 0.3750 0.5284
S 0.1250 0.5966 0.9716
S 0.6250 0.1534 0.0284
As 0.5000 0.5000 0.0000
As 0.7500 0.2500 0.5000
Bi 0.0000 0.0000 0.0000
Bi 0.2500 0.7500 0.5000

Computed properties:
Calculated total energy in eV per formula unit: -18.001
Energy above the most stable polymorph in this dataset in eV/atom: 0.000
Symmetry: No. 122
Uncorrected formation energy in eV/atom: 0.04

Below is an optimized crystal structure of BiAsSe2S, with properties calculated at the PBEsol level.

Cell: 4.8717 4.8717 4.7473 Å, 90.00 90.00 90.00°
Atoms (fractional coordinates):
S 0.0000 0.0000 0.0000
As 0.0000 0.0000 0.5000
Bi 0.5000 0.5000 0.5000
Se 0.0000 0.5000 0.0000
Se 0.5000 0.0000 0.0000

Computed properties:
Calculated total energy in eV per formula unit: -19.820
Symmetry: No. 123
Uncorrected formation energy in eV/atom: 0.33

Below is an optimized crystal structure of Sc2BiAs2, with properties calculated at the PBEsol level.

Cell: 3.8323 3.8323 7.7715 Å, 104.27 104.27 90.00°
Atoms (fractional coordinates):
Sc 0.3869 0.3869 0.7738
Sc 0.6131 0.6131 0.2262
As 0.2500 0.7500 0.5000
As 0.7500 0.2500 0.5000
Bi 0.0000 0.0000 0.0000

Computed properties:
Calculated total energy in eV per formula unit: -31.736
Symmetry: No. 139

Below is an optimized crystal structure of Sc2BiAs, with properties calculated at the PBEsol level.

Cell: 4.9726 4.9726 4.9726 Å, 60.00 60.00 60.00°
Atoms (fractional coordinates):
Sc 0.2500 0.2500 0.2500
Sc 0.7500 0.7500 0.7500
As 0.0000 0.0000 0.0000
Bi 0.5000 0.5000 0.5000

Computed properties:
Calculated total energy in eV per formula unit: -25.103
Symmetry: No. 225

Below is an optimized crystal structure of ScBiAs2Se, with properties calculated at the PBEsol level.

Cell: 5.2463 5.2463 5.3400 Å, 90.00 90.00 90.00°
Atoms (fractional coordinates):
Sc 0.5000 0.5000 0.5000
As 0.0000 0.5000 0.0000
As 0.5000 0.0000 0.0000
Bi 0.0000 0.0000 0.0000
Se 0.0000 0.0000 0.5000

Computed properties:
Calculated total energy in eV per formula unit: -21.794
Symmetry: No. 123
Uncorrected formation energy in eV/atom: 0.63

Below is an optimized crystal structure of BiAsSe3, with properties calculated at the PBEsol level.

Cell: 5.3410 5.3410 5.3410 Å, 90.00 90.00 90.00°
Site moments in Bohr magnetons follow the coordinates.
Atoms (fractional coordinates):
As 0.5000 0.5000 0.5000  0.28
Bi 0.0000 0.0000 0.0000  0.00
Se 0.0000 0.5000 0.0000  -0.03
Se 0.0000 0.0000 0.5000  -0.03
Se 0.5000 0.0000 0.0000  -0.03

Computed properties:
Calculated total energy in eV per formula unit: -16.454
Symmetry: No. 221
Uncorrected formation energy in eV/atom: 0.90

Below is an optimized crystal structure of SrBiAsSe2, with properties calculated at the PBEsol level.

Cell: 5.3262 5.4690 5.4690 Å, 90.00 90.00 90.00°
Atoms (fractional coordinates):
Sr 0.5000 0.5000 0.5000
As 0.5000 0.0000 0.0000
Bi 0.0000 0.0000 0.0000
Se 0.0000 0.0000 0.5000
Se 0.0000 0.5000 0.0000

Computed properties:
Calculated total energy in eV per formula unit: -20.150
Symmetry: No. 123
Uncorrected formation energy in eV/atom: -0.24

Below is an optimized crystal structure of TaBiAsSe2, with properties calculated at the PBEsol level.

Cell: 5.2219 5.2453 5.2453 Å, 90.00 90.00 90.00°
Site moments in Bohr magnetons follow the coordinates.
Atoms (fractional coordinates):
As 0.5000 0.0000 0.0000  -0.20
Bi 0.0000 0.0000 0.0000  -0.01
Se 0.0000 0.0000 0.5000  -0.16
Se 0.0000 0.5000 0.0000  -0.16
Ta 0.5000 0.5000 0.5000  1.83

Computed properties:
Calculated total energy in eV per formula unit: -22.142
Symmetry: No. 123
Uncorrected formation energy in eV/atom: 1.50

Question: The highest calculated total energy belongs to which entry?
Answer: BiAsSe3

What did the twelfth record say?
Below is an optimized crystal structure of TaBiAsSe2, with properties calculated at the PBEsol level.

Cell: 5.2219 5.2453 5.2453 Å, 90.00 90.00 90.00°
Site moments in Bohr magnetons follow the coordinates.
Atoms (fractional coordinates):
As 0.5000 0.0000 0.0000  -0.20
Bi 0.0000 0.0000 0.0000  -0.01
Se 0.0000 0.0000 0.5000  -0.16
Se 0.0000 0.5000 0.0000  -0.16
Ta 0.5000 0.5000 0.5000  1.83

Computed properties:
Calculated total energy in eV per formula unit: -22.142
Symmetry: No. 123
Uncorrected formation energy in eV/atom: 1.50

Question: Number 9 is which compound?
Answer: ScBiAs2Se

Question: Which formula does entry 9 have?
Answer: ScBiAs2Se